Entry 1:
VASP calculation (GGA-PBE) on ReAuIN2 after structural relaxation.

```
ReAuIN2
1.0
3.936 0.000 0.000
0.000 3.936 0.000
0.000 0.000 7.370
Re Au I N
1 1 1 2
direct
0.000 0.000 0.000
0.500 0.500 0.500
0.500 0.500 0.000
0.000 0.500 0.500
0.500 0.000 0.500
```

Entry 2:
VASP calculation (GGA-PBE) on ReAuIN2 after structural relaxation.

```
ReAuIN2
1.0
3.902 0.000 0.000
0.000 3.902 0.000
0.000 0.000 5.962
Re Au I N
1 1 1 2
direct
0.000 0.000 0.000
0.500 0.500 0.500
0.000 0.000 0.500
0.000 0.500 0.000
0.500 0.000 0.000
```

Entry 3:
VASP calculation (GGA-PBE) on RuAuIN2 after structural relaxation.

```
RuAuIN2
1.0
3.868 0.000 0.000
0.000 3.868 0.000
0.000 0.000 7.873
Ru Au I N
1 1 1 2
direct
0.000 0.000 0.000
0.500 0.500 0.500
0.500 0.500 0.000
0.000 0.500 0.500
0.500 0.000 0.500
```

Entry 4:
VASP calculation (GGA-PBE) on RuAuIN2 after structural relaxation.

```
RuAuIN2
1.0
3.874 0.000 0.000
0.000 3.874 0.000
0.000 0.000 6.017
Ru Au I N
1 1 1 2
direct
0.000 0.000 0.000
0.500 0.500 0.500
0.000 0.000 0.500
0.000 0.500 0.000
0.500 0.000 0.000
```

Entry 5:
VASP calculation (GGA-PBE) on AuSI2N after structural relaxation.

```
AuSI2N
1.0
6.279 0.000 0.000
0.000 6.279 0.000
0.000 0.000 3.272
Au S I N
1 1 2 1
direct
0.000 0.000 0.000
0.500 0.500 0.500
0.000 0.500 0.500
0.500 0.000 0.500
0.500 0.500 0.000
```

Entry 6:
VASP calculation (GGA-PBE) on AuSI2N after structural relaxation.

```
AuSI2N
1.0
5.930 0.000 0.000
0.000 5.930 0.000
0.000 0.000 3.782
Au S I N
1 1 2 1
direct
0.000 0.000 0.000
0.500 0.500 0.500
0.000 0.500 0.000
0.500 0.000 0.000
0.000 0.000 0.500
```

Entry 7:
VASP calculation (GGA-PBE) on SbAuI2N after structural relaxation.

```
SbAuI2N
1.0
6.100 0.000 0.000
0.000 6.100 0.000
0.000 0.000 3.783
Sb Au I N
1 1 2 1
direct
0.000 0.000 0.000
0.500 0.500 0.500
0.000 0.500 0.500
0.500 0.000 0.500
0.500 0.500 0.000
```

Entry 8:
VASP calculation (GGA-PBE) on SbAuI2N after structural relaxation.

```
SbAuI2N
1.0
4.851 0.000 0.000
0.000 4.851 0.000
0.000 0.000 5.059
Sb Au I N
1 1 2 1
direct
0.000 0.000 0.000
0.500 0.500 0.000
0.000 0.500 0.500
0.500 0.000 0.500
0.000 0.000 0.500
```

no.,magnetic moment (μB/cell),polymorph energy (0 for the lowest one) (eV/atom)
1,3.62,1.845
2,0.00,0.000
3,1.86,1.175
4,0.33,0.000
5,0.00,0.000
6,1.19,0.356
7,0.15,0.078
8,0.00,0.189